Entry 1:
Computed, not measured: an optimized crystal structure of CoSiRu2 at the GGA-PBE level of DFT.

Values from the calculation:
* energy relative to the elements, uncorrected: 0.17 eV/atom
* calculated density: 9.2 Mg/m³
* magnetic moment: 0.42 μB/atom
* VASP energy: -7.602 eV/atom
* D(E_F): 4.82 states/eV per cell

Unit cell a=2.685 b=2.685 c=8.174 alpha=90.00 beta=90.00 gamma=117.14
Fractional coordinates of all 4 atoms:
Co  0.000  0.000  0.000
Si  0.500  0.500  0.218
Ru  0.000  0.000  0.455
Ru  0.500  0.500  0.739

---

Entry 2:
Computed, not measured: an optimized crystal structure of Co2Si2Ru at the GGA-PBE level of DFT.

Values from the calculation:
* energy relative to the elements, uncorrected: -0.43 eV/atom
* calculated density: 7.9 Mg/m³
* magnetic moment: 0.13 μB/atom
* VASP energy: -7.298 eV/atom
* D(E_F): 8.68 states/eV per cell

Unit cell a=6.656 b=6.656 c=2.613 alpha=90.00 beta=90.00 gamma=90.00
Fractional coordinates of all 10 atoms:
Co  0.146  0.354  0.000
Co  0.354  0.854  0.000
Co  0.646  0.146  0.000
Co  0.854  0.646  0.000
Si  0.150  0.650  0.500
Si  0.350  0.150  0.500
Si  0.650  0.850  0.500
Si  0.850  0.350  0.500
Ru  0.000  0.000  0.500
Ru  0.500  0.500  0.500

---

Entry 3:
Computed, not measured: an optimized crystal structure of Co2SiRu at the GGA-PBE level of DFT.

Values from the calculation:
* energy relative to the elements, uncorrected: -0.07 eV/atom
* calculated density: 8.8 Mg/m³
* magnetic moment: 0.00 μB/atom
* VASP energy: -7.301 eV/atom
* D(E_F): 3.95 states/eV per cell

Unit cell a=7.984 b=7.984 c=7.984 alpha=18.93 beta=18.93 gamma=18.93
Fractional coordinates of all 4 atoms:
Co  0.244  0.244  0.244
Co  0.756  0.756  0.756
Si  0.500  0.500  0.500
Ru  0.000  0.000  0.000

---

Entry 4:
Computed, not measured: an optimized crystal structure of CoSi2Ru2 at the GGA-PBE level of DFT.

Values from the calculation:
* energy relative to the elements, uncorrected: -0.34 eV/atom
* calculated density: 8.1 Mg/m³
* magnetic moment: 0.34 μB/atom
* VASP energy: -7.638 eV/atom
* D(E_F): 7.91 states/eV per cell
* excess energy over the best structure of this formula in the dataset: 0 meV/atom

Unit cell a=6.808 b=6.808 c=2.819 alpha=90.00 beta=90.00 gamma=90.00
Fractional coordinates of all 10 atoms:
Co  0.000  0.000  0.000
Co  0.500  0.500  0.000
Si  0.145  0.355  0.000
Si  0.355  0.855  0.000
Si  0.645  0.145  0.000
Si  0.855  0.645  0.000
Ru  0.154  0.654  0.500
Ru  0.346  0.154  0.500
Ru  0.654  0.846  0.500
Ru  0.846  0.346  0.500

---

Entry 5:
Computed, not measured: an optimized crystal structure of CoSiRu2 at the GGA-PBE level of DFT.

Values from the calculation:
* energy relative to the elements, uncorrected: -0.21 eV/atom
* calculated density: 9.6 Mg/m³
* magnetic moment: 0.21 μB/atom
* VASP energy: -7.981 eV/atom
* D(E_F): 2.46 states/eV per cell

Unit cell a=2.783 b=2.783 c=6.441 alpha=90.00 beta=90.00 gamma=90.00
Fractional coordinates of all 4 atoms:
Co  0.000  0.000  0.000
Si  0.500  0.500  0.808
Ru  0.000  0.000  0.562
Ru  0.500  0.500  0.282

---

Entry 6:
Computed, not measured: an optimized crystal structure of CoSiRu2 at the GGA-PBE level of DFT.

Values from the calculation:
* energy relative to the elements, uncorrected: -0.21 eV/atom
* calculated density: 9.5 Mg/m³
* magnetic moment: 0.60 μB/atom
* VASP energy: -7.979 eV/atom
* D(E_F): 4.49 states/eV per cell

Unit cell a=2.899 b=2.899 c=6.047 alpha=90.00 beta=90.00 gamma=90.00
Fractional coordinates of all 4 atoms:
Co  0.000  0.000  0.000
Si  0.000  0.000  0.500
Ru  0.500  0.500  0.265
Ru  0.500  0.500  0.735

---

Entry 7:
Computed, not measured: an optimized crystal structure of CoSiRu2 at the GGA-PBE level of DFT.

Values from the calculation:
* energy relative to the elements, uncorrected: -0.24 eV/atom
* calculated density: 9.6 Mg/m³
* magnetic moment: 0.10 μB/atom
* VASP energy: -8.006 eV/atom
* D(E_F): 4.07 states/eV per cell

Unit cell a=4.904 b=4.904 c=4.904 alpha=146.15 beta=129.78 gamma=61.94
Fractional coordinates of all 4 atoms:
Co  0.000  0.000  0.000
Si  0.787  0.287  0.500
Ru  0.276  0.776  0.500
Ru  0.550  0.550  0.000

---

Entry 8:
Computed, not measured: an optimized crystal structure of CoSiRu2 at the GGA-PBE level of DFT.

Values from the calculation:
* energy relative to the elements, uncorrected: -0.20 eV/atom
* calculated density: 9.6 Mg/m³
* magnetic moment: 0.00 μB/atom
* VASP energy: -7.973 eV/atom
* D(E_F): 4.14 states/eV per cell

Unit cell a=3.892 b=4.935 c=4.935 alpha=31.98 beta=90.00 gamma=90.00
Fractional coordinates of all 4 atoms:
Co  0.000  0.000  0.000
Si  0.500  0.872  0.872
Ru  0.000  0.261  0.261
Ru  0.500  0.611  0.611

---

Entry 9:
Computed, not measured: an optimized crystal structure of Co2SiRu at the GGA-PBE level of DFT.

Values from the calculation:
* energy relative to the elements, uncorrected: -0.16 eV/atom
* calculated density: 8.8 Mg/m³
* magnetic moment: 0.39 μB/atom
* VASP energy: -7.386 eV/atom
* D(E_F): 6.15 states/eV per cell

Unit cell a=3.544 b=3.544 c=3.725 alpha=90.00 beta=90.00 gamma=90.00
Fractional coordinates of all 4 atoms:
Co  0.000  0.500  0.000
Co  0.500  0.000  0.000
Si  0.000  0.000  0.500
Ru  0.500  0.500  0.500

---

Entry 10:
Computed, not measured: an optimized crystal structure of Co2SiRu at the GGA-PBE level of DFT.

Values from the calculation:
* energy relative to the elements, uncorrected: -0.02 eV/atom
* calculated density: 8.6 Mg/m³
* magnetic moment: 0.77 μB/atom
* VASP energy: -7.243 eV/atom
* D(E_F): 5.43 states/eV per cell

Unit cell a=4.065 b=4.065 c=2.898 alpha=90.00 beta=90.00 gamma=90.00
Fractional coordinates of all 4 atoms:
Co  0.000  0.500  0.000
Co  0.500  0.000  0.000
Si  0.000  0.000  0.500
Ru  0.500  0.500  0.500

---

Entry 11:
Computed, not measured: an optimized crystal structure of CoSiRu2 at the GGA-PBE level of DFT.

Values from the calculation:
* energy relative to the elements, uncorrected: -0.19 eV/atom
* calculated density: 9.5 Mg/m³
* magnetic moment: 0.00 μB/atom
* VASP energy: -7.955 eV/atom
* D(E_F): 3.65 states/eV per cell

Unit cell a=4.542 b=4.542 c=4.542 alpha=132.26 beta=132.26 gamma=69.82
Fractional coordinates of all 4 atoms:
Co  0.000  0.000  0.000
Si  0.750  0.250  0.500
Ru  0.250  0.750  0.500
Ru  0.500  0.500  0.000

---

Entry 12:
Computed, not measured: an optimized crystal structure of Co2SiRu at the GGA-PBE level of DFT.

Values from the calculation:
* energy relative to the elements, uncorrected: -0.18 eV/atom
* calculated density: 8.6 Mg/m³
* magnetic moment: 0.57 μB/atom
* VASP energy: -7.410 eV/atom
* D(E_F): 4.34 states/eV per cell

Unit cell a=3.745 b=4.935 c=4.935 alpha=31.55 beta=90.00 gamma=90.00
Fractional coordinates of all 4 atoms:
Co  0.000  0.000  0.000
Co  0.500  0.398  0.398
Si  0.000  0.260  0.260
Ru  0.500  0.658  0.658

---

Entry 13:
Computed, not measured: an optimized crystal structure of CoSiRu3 at the GGA-PBE level of DFT.

Values from the calculation:
* energy relative to the elements, uncorrected: 1.43 eV/atom
* calculated density: 7.7 Mg/m³
* magnetic moment: 0.87 μB/atom
* VASP energy: -6.639 eV/atom
* D(E_F): 8.24 states/eV per cell
* excess energy over the best structure of this formula in the dataset: 359 meV/atom

Unit cell a=4.389 b=4.389 c=4.389 alpha=90.00 beta=90.00 gamma=90.00
Fractional coordinates of all 5 atoms:
Co  0.000  0.000  0.000
Si  0.500  0.500  0.500
Ru  0.000  0.000  0.500
Ru  0.000  0.500  0.000
Ru  0.500  0.000  0.000